The following is a PBE-GGA calculation of a relaxed ZnReNiHg crystal, from the Open Quantum Materials Database.

It has space group F-43m (No. 216), with a = 6.279 Å, b = 6.279 Å, c = 6.279 Å, α = 90.00°, β = 90.00° and γ = 90.00°. The inequivalent atoms are Zn at (0.000, 0.000, 0.000), Re at (0.000, 0.000, 0.500), Ni at (0.250, 0.250, 0.250) and Hg at (0.250, 0.250, 0.750).

The energy is -4.19 eV/atom. As for the magnetization: 2.09 μB per formula unit. The calculation puts the formation energy at 0.697 eV per atom.


The following is a PBE-GGA calculation of a relaxed Gd2Mg crystal, from the Open Quantum Materials Database.

It has space group P4_2/mnm (No. 136), with a = 6.363 Å, b = 6.363 Å, c = 5.384 Å, α = 90.00°, β = 90.00° and γ = 90.00°. The inequivalent atoms are Gd at (0.175, 0.175, 0.000) and Mg at (0.000, 0.000, 0.500).

The energy is -2.98 eV/atom. As for the magnetization: 0.04 μB per formula unit.


The following is a PBE-GGA calculation of a relaxed SrZrAs3 crystal, from the Open Quantum Materials Database.

It has space group Cmmm (No. 65), with a = 4.133 Å, b = 31.964 Å, c = 3.820 Å, α = 90.00°, β = 90.00° and γ = 90.00°. The inequivalent atoms are Sr at (0.000, 0.116, 0.000), Zr at (0.000, 0.286, 0.500), As at (0.000, 0.039, 0.500), As at (0.000, 0.212, 0.000) and As at (0.000, 0.461, 0.000).

The energy is -5.24 eV/atom. As for the magnetization: 0.01 μB per formula unit.


The following is a PBE-GGA calculation of a relaxed RbScPd crystal, from the Open Quantum Materials Database.

It has space group F-43m (No. 216), with a = 7.078 Å, b = 7.078 Å, c = 7.078 Å, α = 90.00°, β = 90.00° and γ = 90.00°. The inequivalent atoms are Rb at (0.000, 0.000, 0.000), Sc at (0.000, 0.000, 0.500) and Pd at (0.250, 0.250, 0.250).

The energy is -3.76 eV/atom. As for the magnetization: 0.00 μB per formula unit.


The following is a PBE-GGA calculation of a relaxed NbAlAu crystal, from the Open Quantum Materials Database.

It has space group F-43m (No. 216), with a = 6.290 Å, b = 6.290 Å, c = 6.290 Å, α = 90.00°, β = 90.00° and γ = 90.00°. The inequivalent atoms are Nb at (0.000, 0.000, 0.000), Al at (0.250, 0.250, 0.750) and Au at (0.250, 0.250, 0.250).

The energy is -5.34 eV/atom. As for the magnetization: 0.02 μB per formula unit.


The following is a PBE-GGA calculation of a relaxed TmTaN2O crystal, from the Open Quantum Materials Database.

It has space group P6_3cm (No. 185), with a = 6.1414 Å, b = 6.1414 Å, c = 12.1835 Å, α = 90.00°, β = 90.00° and γ = 120.00°. The inequivalent atoms are Tm at (0.0000, 0.0000, 0.0000), Tm at (0.3333, 0.6667, 0.4715), Ta at (0.0000, 0.3337, 0.2320), N at (0.0000, 0.3124, 0.3918), N at (0.0000, 0.3547, 0.0728), O at (0.0000, 0.0000, 0.2132) and O at (0.3333, 0.6667, 0.2432).

The energy is -9.08 eV/atom. As for the magnetization: 0.00 μB per formula unit.


Question: Which value of magnetization does entry 5 give?
Answer: 0.02 μB per formula unit


Question: Which value of energy does entry 5 give?
Answer: -5.34 eV/atom


Question: What is the magnetization in the sixth record?
Answer: 0.00 μB per formula unit